(1)
The following is a PBE calculation of a relaxed ZrH2C2O6 crystal, from OQMD via LeMat-Bulk. Values from VASP.

- magnetization (μB/atom) = 0.00
- E_tot (eV/atom) = -7.470

```
&SYSTEM
  ibrav = 0, nat = 22, ntyp = 4
/
ATOMIC_SPECIES
Zr 91.22 Zr.upf
H 1.01 H.upf
C 12.01 C.upf
O 16.00 O.upf
ATOMIC_POSITIONS angstrom
Zr 4.110 2.346 4.430
Zr 5.638 -2.346 1.477
H 5.438 0.905 0.275
H 5.838 0.905 2.678
H 3.911 -0.905 3.228
H 4.310 -0.905 5.631
C 1.956 0.724 2.906
C 0.429 -0.724 5.859
C 9.320 0.724 0.047
C 7.792 -0.724 3.000
O 5.962 1.739 0.165
O -0.212 0.113 5.177
O 1.316 -0.113 2.224
O 5.314 1.739 2.788
O 3.042 0.522 3.534
O 4.569 -0.522 0.581
O 5.179 0.522 5.326
O 6.706 -0.522 2.372
O 4.434 -1.739 3.118
O 8.433 0.113 3.682
O 9.960 -0.113 0.729
O 3.786 -1.739 5.741
CELL_PARAMETERS angstrom
6.401 -2.862 0.000
6.401 2.862 0.000
-3.055 0.000 5.906
```

(2)
The following is a PBE calculation of a relaxed Na2NbZnF7 crystal, from OQMD via LeMat-Bulk. Values from VASP.

- magnetization (μB/atom) = 0.18
- E_tot (eV/atom) = -5.011

```
&SYSTEM
  ibrav = 0, nat = 44, ntyp = 4
/
ATOMIC_SPECIES
Na 22.99 Na.upf
Nb 92.91 Nb.upf
Zn 65.41 Zn.upf
F 19.00 F.upf
ATOMIC_POSITIONS angstrom
Na 0.000 0.000 0.000
Na 0.000 3.711 0.000
Na 2.552 1.856 1.852
Na 2.566 5.567 5.402
Na 5.118 0.000 3.550
Na 5.118 3.711 3.550
Na 7.670 1.856 1.698
Na 7.684 5.567 5.248
Nb 2.479 1.856 5.391
Nb 2.639 5.567 1.841
Nb 7.597 1.856 5.259
Nb 7.757 5.567 1.709
Zn 0.000 0.000 3.550
Zn 0.000 3.711 3.550
Zn 5.118 0.000 0.000
Zn 5.118 3.711 0.000
F 0.119 1.856 3.027
F 1.276 0.149 5.119
F 1.276 3.562 5.119
F 1.384 1.856 0.046
F 1.460 3.891 2.177
F 1.468 5.567 0.140
F 1.460 7.243 2.177
F 3.658 0.180 5.727
F 3.650 1.856 3.690
F 3.658 3.532 5.727
F 3.734 5.567 3.596
F 3.842 3.861 1.569
F 3.842 7.273 1.569
F 4.999 5.567 6.577
F 5.237 1.856 0.523
F 6.394 0.149 5.531
F 6.394 3.562 5.531
F 6.502 1.856 3.504
F 6.578 3.891 1.373
F 6.586 5.567 3.410
F 6.578 7.243 1.373
F 8.776 0.180 4.923
F 8.768 1.856 6.960
F 8.776 3.532 4.923
F 8.852 5.567 7.054
F 8.960 3.861 1.981
F 8.960 7.273 1.981
F 10.116 5.567 4.073
CELL_PARAMETERS angstrom
10.236 0.000 0.000
0.000 7.422 0.000
0.000 0.000 7.100
```

(3)
The following is a PBE calculation of a relaxed Lu2ZnC crystal, from OQMD via LeMat-Bulk. Values from VASP.

- magnetization (μB/atom) = 0.00
- E_tot (eV/atom) = -5.179

```
&SYSTEM
  ibrav = 0, nat = 24, ntyp = 3
/
ATOMIC_SPECIES
Lu 174.97 Lu.upf
Zn 65.41 Zn.upf
C 12.01 C.upf
ATOMIC_POSITIONS angstrom
Lu 2.632 2.498 9.052
Lu 2.658 2.498 13.932
Lu 2.590 0.499 1.278
Lu 2.625 0.502 6.385
Lu 0.895 -0.499 8.939
Lu 0.930 -0.502 14.047
Lu 6.055 0.502 1.276
Lu 6.090 0.499 6.383
Lu 4.360 -0.502 8.938
Lu 4.395 -0.499 14.045
Lu 4.327 -2.498 1.391
Lu 4.353 -2.498 6.271
Zn -0.039 0.944 11.500
Zn 1.656 -0.944 3.838
Zn 4.340 0.471 3.831
Zn 2.645 -0.471 11.492
Zn 5.329 0.944 11.485
Zn 7.024 -0.944 3.823
C 0.899 1.495 7.661
C 0.953 1.530 15.320
C 4.336 1.530 7.664
C 2.594 -1.495 0.000
C 2.649 -1.530 7.658
C 6.031 -1.530 0.003
CELL_PARAMETERS angstrom
5.188 -2.989 0.000
5.188 2.989 0.000
-3.390 0.000 15.323
```

(4)
The following is a PBE calculation of a relaxed MgFeCoS3 crystal, from OQMD via LeMat-Bulk. Values from VASP.

- magnetization (μB/atom) = 0.48
- E_tot (eV/atom) = -5.352

```
&SYSTEM
  ibrav = 0, nat = 12, ntyp = 4
/
ATOMIC_SPECIES
Mg 24.30 Mg.upf
Fe 55.84 Fe.upf
Co 58.93 Co.upf
S 32.06 S.upf
ATOMIC_POSITIONS angstrom
Mg 1.714 2.980 6.725
Mg 1.714 -2.980 2.242
Fe 1.714 0.469 2.242
Fe 1.714 -0.469 6.725
Co 0.000 0.000 0.000
Co 0.000 0.000 4.484
S 1.714 4.813 2.242
S 1.714 1.558 0.354
S 1.714 1.558 4.130
S 1.714 -1.558 4.837
S 1.714 -1.558 8.613
S 1.714 -4.813 6.725
CELL_PARAMETERS angstrom
1.714 -5.805 0.000
1.714 5.805 0.000
0.000 0.000 8.967
```

- What is the formula in the second record?
  Na2NbZnF7